This record from Alexandria via LeMat-Bulk describes a relaxed structure of MgMoN2O. The functional is GGA+U.

Summary:
Energy ... -6.301 eV per atom

Cell lengths 3.9650, 3.9650, 3.8901 Å; angles 90.00, 90.00, 90.00 degrees
Space group P4/mmm (No. 123)
Unique sites:
Mg 0.0000 0.0000 0.0000 x1
Mo 0.5000 0.5000 0.5000 x1
N 0.0000 0.5000 0.5000 x2
O 0.5000 0.5000 0.0000 x1